(1)
The following is a PBE calculation of a relaxed structure of Nb2As2Ru, from Alexandria via LeMat-Bulk.

The value obtained for the calculated formation energy is 155 kJ/mol of formula units. The uncorrected energy comes out at -7.42 eV per atom.

Cell: 4.387 4.387 9.938 Å, 90.00 90.00 90.00°
Space group I4/mmm (No. 139)
Symmetry-distinct sites (fractional):
Nb 0.000 0.500 0.250
As 0.000 0.000 0.118
Ru 0.000 0.000 0.500

(2)
The following is a PBE calculation of a relaxed structure of Nb2AsRu2, from Alexandria via LeMat-Bulk.

The value obtained for the calculated formation energy is -27 kJ/mol of formula units. The uncorrected energy comes out at -8.72 eV per atom.

Cell: 7.487 7.487 3.027 Å, 90.00 90.00 90.00°
Space group P4/mbm (No. 127)
Symmetry-distinct sites (fractional):
Nb 0.159 0.341 0.000
As 0.000 0.000 0.500
Ru 0.134 0.634 0.500

(3)
The following is a PBE calculation of a relaxed structure of Nb2AsRu2, from Alexandria via LeMat-Bulk.

The value obtained for the calculated formation energy is 62 kJ/mol of formula units. The uncorrected energy comes out at -8.54 eV per atom.

Cell: 3.443 3.443 14.701 Å, 90.00 90.00 90.00°
Space group I4/mmm (No. 139)
Symmetry-distinct sites (fractional):
Nb 0.000 0.000 0.100
As 0.000 0.000 0.500
Ru 0.000 0.500 0.250

(4)
The following is a PBE calculation of a relaxed structure of Nb2AsRu2, from Alexandria via LeMat-Bulk.

The value obtained for the calculated formation energy is 14 kJ/mol of formula units. The uncorrected energy comes out at -8.64 eV per atom.

Cell: 7.536 7.536 3.027 Å, 90.00 90.00 90.00°
Space group P4/mbm (No. 127)
Symmetry-distinct sites (fractional):
Nb 0.159 0.341 0.000
As 0.000 0.000 0.000
Ru 0.135 0.635 0.500

(5)
The following is a PBE calculation of a relaxed structure of NbAsRu2, from Alexandria via LeMat-Bulk.

The value obtained for the calculated formation energy is -61 kJ/mol of formula units. The uncorrected energy comes out at -8.48 eV per atom.

Cell: 2.983 2.983 6.815 Å, 90.00 90.00 90.00°
Space group P4/mmm (No. 123)
Symmetry-distinct sites (fractional):
Nb 0.000 0.000 0.000
As 0.000 0.000 0.500
Ru 0.500 0.500 0.280

(6)
The following is a PBE calculation of a relaxed structure of NbAs3Ru, from Alexandria via LeMat-Bulk.

The value obtained for the calculated formation energy is 415 kJ/mol of formula units. The uncorrected energy comes out at -5.80 eV per atom.

Cell: 4.725 4.725 4.725 Å, 90.00 90.00 90.00°
Space group Pm-3m (No. 221)
Symmetry-distinct sites (fractional):
Nb 0.000 0.000 0.000
As 0.000 0.500 0.500
Ru 0.500 0.500 0.500

(7)
The following is a PBE calculation of a relaxed structure of NbAs2RuSe, from Alexandria via LeMat-Bulk.

For the formation energy from raw total energies, the calculation gives 0.89 eV/atom. The uncorrected energy comes out at -5.54 eV per atom.

Cell: 4.980 4.980 4.937 Å, 90.00 90.00 90.00°
Space group P4/mmm (No. 123)
Symmetry-distinct sites (fractional):
Nb 0.000 0.000 0.000
As 0.000 0.500 0.000
Ru 0.500 0.500 0.500
Se 0.000 0.000 0.500

(8)
The following is a PBE calculation of a relaxed structure of NbAs2RuSe, from Alexandria via LeMat-Bulk.

For the formation energy from raw total energies, the calculation gives 0.82 eV/atom. The uncorrected energy comes out at -5.61 eV per atom.

Cell: 4.634 4.634 5.000 Å, 90.00 90.00 90.00°
Space group P4/mmm (No. 123)
Symmetry-distinct sites (fractional):
Nb 0.000 0.000 0.000
As 0.000 0.500 0.500
Ru 0.500 0.500 0.500
Se 0.500 0.500 0.000

(9)
The following is a PBE calculation of a relaxed structure of Sr2NbAsRu, from Alexandria via LeMat-Bulk.

The value obtained for the calculated formation energy is 544 kJ/mol of formula units. The uncorrected energy comes out at -4.34 eV per atom.

Cell: 5.902 5.902 4.870 Å, 90.00 90.00 90.00°
Space group P4/mmm (No. 123)
Symmetry-distinct sites (fractional):
Sr 0.000 0.500 0.000
Nb 0.000 0.000 0.000
As 0.000 0.000 0.500
Ru 0.500 0.500 0.500

(10)
The following is a PBE calculation of a relaxed structure of SrNbAs2Ru, from Alexandria via LeMat-Bulk.

The value obtained for the calculated formation energy is -316 kJ/mol of formula units. The uncorrected energy comes out at -6.72 eV per atom.

Cell: 4.025 4.025 13.262 Å, 90.00 90.00 90.00°
Space group I-4m2 (No. 119)
Symmetry-distinct sites (fractional):
Sr 0.000 0.000 0.000
Nb 0.000 0.500 0.250
As 0.000 0.000 0.372
Ru 0.000 0.500 0.750

(11)
The following is a PBE calculation of a relaxed structure of NbAsS2, from Alexandria via LeMat-Bulk.

For the formation energy from raw total energies, the calculation gives -0.55 eV/atom. The uncorrected energy comes out at -6.29 eV per atom.

Cell: 3.2675 3.2675 25.1323 Å, 90.00 90.00 120.00°
Space group R-3m (No. 166, hexagonal axes)
Symmetry-distinct sites (fractional):
Nb 0.0000 0.0000 0.0000
As 0.0000 0.0000 0.5000
S 0.0000 0.0000 0.3979

(12)
The following is a PBE calculation of a relaxed structure of Nb4AsS5, from Alexandria via LeMat-Bulk.

For the formation energy from raw total energies, the calculation gives -0.80 eV/atom. The uncorrected energy comes out at -7.35 eV per atom.

Cell: 15.516 3.500 7.355 Å, 90.00 100.36 90.00°
Space group C2/m (No. 12)
Symmetry-distinct sites (fractional):
Nb 0.011 0.000 0.229
Nb 0.177 0.500 0.548
As 0.000 0.500 0.500
S 0.000 0.500 0.000
S 0.153 0.000 0.789
S 0.173 0.000 0.293